No. 1
First-principles (PBE) data for crystalline KAc2PO6 at its relaxed geometry, as listed in Alexandria via LeMat-Bulk.

Calculated values
- DOS(E_F) (states/eV/cell) = 0.00
- formation energy (no corrections) (eV per atom) = -2.561
- final energy (eV for the cell shown) = -70.09

Structure (CIF):
```
data_KAc2PO6
_chemical_formula_sum 'K1 Ac2 P1 O6'
_cell_length_a 5.6309
_cell_length_b 5.6309
_cell_length_c 5.1421
_cell_angle_alpha 90.00
_cell_angle_beta 90.00
_cell_angle_gamma 90.00
_symmetry_space_group_name_H-M 'P 4 m m'
_symmetry_Int_Tables_number 99
_symmetry_space_group_name_Hall 'P 4 -2'
loop_
_atom_site_label
_atom_site_type_symbol
_atom_site_fract_x
_atom_site_fract_y
_atom_site_fract_z
K1 K 0.0000 0.0000 0.0000
Ac1 Ac 0.0000 0.5000 0.4571
P1 P 0.5000 0.5000 0.0794
O1 O 0.0000 0.0000 0.5234
O2 O 0.2968 0.2968 0.1731
O3 O 0.5000 0.5000 0.7689
```



No. 2
First-principles (PBE) data for crystalline KAcP2O8 at its relaxed geometry, as listed in Alexandria via LeMat-Bulk.

Calculated values
- DOS(E_F) (states/eV/cell) = 20.45
- formation energy (no corrections) (eV per atom) = -2.274
- final energy (eV for the cell shown) = -165.96

Structure (CIF):
```
data_KAcP2O8
_chemical_formula_sum 'K2 Ac2 P4 O16'
_cell_length_a 7.5004
_cell_length_b 7.5004
_cell_length_c 6.6804
_cell_angle_alpha 90.00
_cell_angle_beta 90.00
_cell_angle_gamma 90.00
_symmetry_space_group_name_H-M 'I -4 m 2'
_symmetry_Int_Tables_number 119
_symmetry_space_group_name_Hall 'I -4 -2'
loop_
_atom_site_label
_atom_site_type_symbol
_atom_site_fract_x
_atom_site_fract_y
_atom_site_fract_z
K1 K 0.0000 0.0000 0.0000
Ac1 Ac 0.0000 0.5000 0.7500
P1 P 0.0000 0.0000 0.5000
P2 P 0.0000 0.5000 0.2500
O1 O 0.0000 0.1695 0.6333
O2 O 0.0000 0.3369 0.1080
```



No. 3
First-principles (PBE) data for crystalline K2Ac2PaO6 at its relaxed geometry, as listed in Alexandria via LeMat-Bulk.

Calculated values
- DOS(E_F) (states/eV/cell) = 8.37
- formation energy (no corrections) (eV per atom) = -2.801
- final energy (eV for the cell shown) = -160.93

Structure (CIF):
```
data_K2Ac2PaO6
_chemical_formula_sum 'K4 Ac4 Pa2 O12'
_cell_length_a 6.5877
_cell_length_b 11.3053
_cell_length_c 6.7923
_cell_angle_alpha 90.00
_cell_angle_beta 105.08
_cell_angle_gamma 90.00
_symmetry_space_group_name_H-M 'C 1 2/m 1'
_symmetry_Int_Tables_number 12
_symmetry_space_group_name_Hall '-C 2y'
loop_
_atom_site_label
_atom_site_type_symbol
_atom_site_fract_x
_atom_site_fract_y
_atom_site_fract_z
K1 K 0.0000 0.1547 0.0000
Ac1 Ac 0.0000 0.3355 0.5000
Pa1 Pa 0.0000 0.0000 0.5000
O1 O 0.1927 0.1563 0.6661
O2 O 0.2410 0.0000 0.3242
```



No. 4
First-principles (PBE) data for crystalline K3Ac3PaO8 at its relaxed geometry, as listed in Alexandria via LeMat-Bulk.

Calculated values
- DOS(E_F) (states/eV/cell) = 14.05
- formation energy (no corrections) (eV per atom) = -2.758
- final energy (eV for the cell shown) = -318.46

Structure (CIF):
```
data_K3Ac3PaO8
_chemical_formula_sum 'K9 Ac9 Pa3 O24'
_cell_length_a 7.6436
_cell_length_b 7.6436
_cell_length_c 19.3331
_cell_angle_alpha 90.00
_cell_angle_beta 90.00
_cell_angle_gamma 120.00
_symmetry_space_group_name_H-M 'R -3 m'
_symmetry_Int_Tables_number 166
_symmetry_space_group_name_Hall '-R 3 2"'
loop_
_atom_site_label
_atom_site_type_symbol
_atom_site_fract_x
_atom_site_fract_y
_atom_site_fract_z
K1 K 0.0000 0.5000 0.0000
Ac1 Ac 0.0000 0.5000 0.5000
Pa1 Pa 0.0000 0.0000 0.5000
O1 O 0.0000 0.0000 0.2286
O2 O 0.0381 0.5190 0.2237
```